Crystalline Rb2PaPtS4 at its relaxed geometry. Source: Alexandria via LeMat-Bulk, functional GGA-PBE.

Computed properties:
* uncorrected formation energy: -976 meV/atom
* magnetization: 1.0 μB/cell
* energy: -83.586 eV/cell
* calculated volume: 476.59 Å³ per cell

Structure (CIF):
```
data_Rb2PaPtS4
_cell_length_a 7.5779
_cell_length_b 7.5779
_cell_length_c 8.2994
_cell_angle_alpha 90.00
_cell_angle_beta 90.00
_cell_angle_gamma 90.00
_space_group_name_H-M_alt 'I -4'
_space_group_IT_number 82
loop_
_space_group_symop_operation_xyz
'x,y,z'
'y,-x,-z'
'-x,-y,z'
'-y,x,-z'
'x+1/2,y+1/2,z+1/2'
'y+1/2,-x+1/2,-z+1/2'
'-x+1/2,-y+1/2,z+1/2'
'-y+1/2,x+1/2,-z+1/2'
loop_
_atom_site_label
_atom_site_type_symbol
_atom_site_fract_x
_atom_site_fract_y
_atom_site_fract_z
_atom_site_occupancy
Rb1 Rb 0.0000 0.0000 0.0000 1
Rb2 Rb 0.0000 0.5000 0.2500 1
Pa1 Pa 0.0000 0.0000 0.5000 1
Pt1 Pt 0.0000 0.5000 0.7500 1
S1 S 0.1508 0.7654 0.6764 1
```